MoRh | PBE | optimized geometry

Unit cell a=2.783 b=2.783 c=4.447 alpha=90.00 beta=90.00 gamma=120.00
Element x y z (fractional)
1 Rh 0.333 0.667 0.500
2 Mo 0.000 0.000 0.000

Summary:
M_tot	0.00	μB per formula unit
calculated formation energy	-0.0925	eV/atom
mass density	11.07	Mg/m³